Entry from Alexandria: an optimized crystal structure of LiHfCoPt (GGA-PBE).

Lattice parameters (Å, degrees): 6.191 6.191 6.191 90.00 90.00 90.00
Sites, in units of the cell vectors:
Li (0.000, 0.000, 0.000)
Li (0.000, 0.500, 0.500)
Li (0.500, 0.000, 0.500)
Li (0.500, 0.500, 0.000)
Hf (0.000, 0.000, 0.500)
Hf (0.000, 0.500, 0.000)
Hf (0.500, 0.000, 0.000)
Hf (0.500, 0.500, 0.500)
Co (0.250, 0.250, 0.750)
Co (0.250, 0.750, 0.250)
Co (0.750, 0.250, 0.250)
Co (0.750, 0.750, 0.750)
Pt (0.250, 0.250, 0.250)
Pt (0.250, 0.750, 0.750)
Pt (0.750, 0.250, 0.750)
Pt (0.750, 0.750, 0.250)

* density: 12.3 g/cm3
* Fermi-level density of states: 0.57 states/eV per atom
* E: -6.7880 eV/atom
* formation energy: -0.534 eV/atom